No. 1
KGePb2 | PBE-GGA | relaxed

Cell: 3.925 3.925 8.112 Å, 90.00 90.00 90.00°
Fractional coordinates of all 4 atoms:
K  0.000  0.000  0.000
Ge  0.000  0.000  0.500
Pb  0.500  0.500  0.311
Pb  0.500  0.500  0.689

Values from the calculation:
Density of states at the Fermi level = 1.3 states/eV/f.u.
Space-group type = P4/mmm (123)
Energy relative to the elements = -0.9 kJ per mole of atoms
Electronic total energy = -0.2419 Ry per atom
M_tot = 0.00 μB per formula unit

---

No. 2
K2GePb | PBE-GGA | relaxed

Cell: 9.365 9.365 9.365 Å, 94.90 94.90 146.02°
Fractional coordinates of all 8 atoms:
K  0.375  0.196  0.321
K  0.804  0.125  0.179
K  0.875  0.054  0.679
K  0.946  0.625  0.821
Ge  0.000  0.000  0.000
Ge  0.750  0.250  0.500
Pb  0.250  0.750  0.500
Pb  0.500  0.500  0.000

Values from the calculation:
Energy above the most stable polymorph in this dataset = 0 meV per atom
Density of states at the Fermi level = 1.5 states/eV/f.u.
Space-group type = I-42d (122)
Energy relative to the elements = 8.3 kJ per mole of atoms
Electronic total energy = -0.1870 Ry per atom
M_tot = 0.00 μB per formula unit

---

No. 3
KGePb | PBE-GGA | relaxed

Cell: 3.956 6.872 7.359 Å, 93.40 93.52 92.22°
Fractional coordinates of all 6 atoms:
K  0.247  0.414  0.259
K  0.753  0.586  0.741
Ge  0.246  0.874  0.506
Ge  0.754  0.126  0.494
Pb  0.235  0.114  0.844
Pb  0.765  0.886  0.156

Values from the calculation:
Energy above the most stable polymorph in this dataset = 44 meV per atom
Density of states at the Fermi level = 1.4 states/eV/f.u.
Space-group type = P-1 (2)
Energy relative to the elements = -7.2 kJ per mole of atoms
Electronic total energy = -0.2364 Ry per atom
M_tot = 0.00 μB per formula unit

---

No. 4
KGePb2 | PBE-GGA | relaxed

Cell: 7.016 7.016 7.016 Å, 42.35 42.35 42.35°
Fractional coordinates of all 4 atoms:
K  0.000  0.000  0.000
Ge  0.191  0.191  0.191
Pb  0.550  0.550  0.550
Pb  0.791  0.791  0.791

Values from the calculation:
Density of states at the Fermi level = 2.3 states/eV/f.u.
Space-group type = R3m (160)
Energy relative to the elements = 3.3 kJ per mole of atoms
Electronic total energy = -0.2388 Ry per atom
M_tot = 0.00 μB per formula unit

---

No. 5
KGe2Pb | PBE-GGA | relaxed

Cell: 6.864 6.864 6.864 Å, 103.31 103.31 122.64°
Fractional coordinates of all 8 atoms:
K  0.000  0.000  0.000
K  0.750  0.250  0.500
Ge  0.174  0.625  0.049
Ge  0.375  0.424  0.549
Ge  0.576  0.125  0.951
Ge  0.875  0.826  0.451
Pb  0.250  0.750  0.500
Pb  0.500  0.500  0.000

Values from the calculation:
Density of states at the Fermi level = 3.3 states/eV/f.u.
Space-group type = I-42d (122)
Energy relative to the elements = 24.8 kJ per mole of atoms
Electronic total energy = -0.2391 Ry per atom
M_tot = 0.00 μB per formula unit

---

No. 6
KGePb2 | PBE-GGA | relaxed

Cell: 10.589 10.589 10.589 Å, 149.54 149.54 43.62°
Fractional coordinates of all 8 atoms:
K  0.000  0.000  0.000
K  0.750  0.250  0.500
Ge  0.250  0.750  0.500
Ge  0.500  0.500  0.000
Pb  0.232  0.625  0.107
Pb  0.375  0.482  0.607
Pb  0.518  0.125  0.893
Pb  0.875  0.768  0.393

Values from the calculation:
Density of states at the Fermi level = 1.8 states/eV/f.u.
Space-group type = I-42d (122)
Energy relative to the elements = 16.2 kJ per mole of atoms
Electronic total energy = -0.2289 Ry per atom
M_tot = 0.00 μB per formula unit

---

No. 7
KGePb2 | PBE-GGA | relaxed

Cell: 7.011 7.011 7.011 Å, 41.98 41.98 41.98°
Fractional coordinates of all 4 atoms:
K  0.000  0.000  0.000
Ge  0.500  0.500  0.500
Pb  0.215  0.215  0.215
Pb  0.785  0.785  0.785

Values from the calculation:
Density of states at the Fermi level = 2.7 states/eV/f.u.
Space-group type = R-3m (166)
Energy relative to the elements = 4.1 kJ per mole of atoms
Electronic total energy = -0.2381 Ry per atom
M_tot = 0.00 μB per formula unit

---

No. 8
KGePb | PBE-GGA | relaxed

Cell: 7.759 7.759 7.759 Å, 147.25 126.84 63.85°
Fractional coordinates of all 6 atoms:
K  0.202  0.202  0.000
K  0.798  0.798  0.000
Ge  0.401  0.901  0.500
Ge  0.599  0.099  0.500
Pb  0.254  0.500  0.754
Pb  0.746  0.500  0.246

Values from the calculation:
Energy above the most stable polymorph in this dataset = 0 meV per atom
Density of states at the Fermi level = 0.6 states/eV/f.u.
Space-group type = Immm (71)
Energy relative to the elements = -11.5 kJ per mole of atoms
Electronic total energy = -0.2396 Ry per atom
M_tot = 0.00 μB per formula unit

---

No. 9
K2Ge2Pb | PBE-GGA | relaxed

Cell: 7.718 7.718 7.718 Å, 143.34 143.34 52.82°
Fractional coordinates of all 5 atoms:
K  0.250  0.750  0.500
K  0.750  0.250  0.500
Ge  0.083  0.083  0.000
Ge  0.917  0.917  0.000
Pb  0.500  0.500  0.000

Values from the calculation:
Energy above the most stable polymorph in this dataset = 117 meV per atom
Density of states at the Fermi level = 0.1 states/eV/f.u.
Space-group type = I4/mmm (139)
Energy relative to the elements = 7.0 kJ per mole of atoms
Electronic total energy = -0.2172 Ry per atom
M_tot = 0.00 μB per formula unit

---

No. 10
K2GePb | PBE-GGA | relaxed

Cell: 5.778 5.778 5.778 Å, 60.00 60.00 60.00°
Fractional coordinates of all 4 atoms:
K  0.250  0.250  0.250
K  0.750  0.750  0.750
Ge  0.000  0.000  0.000
Pb  0.500  0.500  0.500

Values from the calculation:
Energy above the most stable polymorph in this dataset = 119 meV per atom
Density of states at the Fermi level = 0.8 states/eV/f.u.
Space-group type = Fm-3m (225)
Energy relative to the elements = 19.8 kJ per mole of atoms
Electronic total energy = -0.1782 Ry per atom
M_tot = 0.00 μB per formula unit

---

No. 11
KGePb | PBE-GGA | relaxed

Cell: 6.364 6.364 6.509 Å, 120.62 120.62 62.40°
Fractional coordinates of all 6 atoms:
K  0.000  0.000  0.000
K  0.227  0.227  0.725
Ge  0.170  0.562  0.364
Ge  0.562  0.170  0.364
Pb  0.639  0.639  0.889
Pb  0.641  0.641  0.387

Values from the calculation:
Energy above the most stable polymorph in this dataset = 63 meV per atom
Density of states at the Fermi level = 0.9 states/eV/f.u.
Space-group type = Cm (8)
Energy relative to the elements = -5.4 kJ per mole of atoms
Electronic total energy = -0.2350 Ry per atom
M_tot = 0.00 μB per formula unit

---

No. 12
KGe3Pb | PBE-GGA | relaxed

Cell: 5.593 5.593 5.593 Å, 90.00 90.00 90.00°
Fractional coordinates of all 5 atoms:
K  0.000  0.000  0.000
Ge  0.000  0.500  0.500
Ge  0.500  0.000  0.500
Ge  0.500  0.500  0.000
Pb  0.500  0.500  0.500

Values from the calculation:
Energy above the most stable polymorph in this dataset = 0 meV per atom
Density of states at the Fermi level = 5.3 states/eV/f.u.
Space-group type = Pm-3m (221)
Energy relative to the elements = 64.5 kJ per mole of atoms
Electronic total energy = -0.2252 Ry per atom
M_tot = 0.00 μB per formula unit